(1)
# PmErTe2

A relaxed structure of PmErTe2 (PBE-GGA, Alexandria).

Lattice parameters (Å, degrees): 4.3496 4.3496 7.7361 73.67 73.67 60.00
Fractional coordinates of all 4 atoms:
1 Te 0.7544 0.7544 0.7369
2 Er 0.5000 0.5000 0.5000
3 Te 0.2456 0.2456 0.2631
4 Pm 0.0000 0.0000 0.0000

Calculated values
N(E_F): 2.3 states/eV/cell
space-group type: R-3m, No. 166
total magnetization: 0.0 μB per formula unit
E: -5.214 eV/atom
energy above the most stable polymorph in this dataset: 31.7 meV/atom

---

(2)
# PmEr3Te6

A relaxed structure of PmEr3Te6 (PBE-GGA, Alexandria).

Lattice parameters (Å, degrees): 4.3591 12.4435 12.7748 109.36 90.00 90.00
Fractional coordinates of all 20 atoms:
1 Te 0.2500 0.1951 0.2503
2 Te 0.2500 0.6082 0.9399
3 Te 0.7500 0.8049 0.7497
4 Er 0.7500 0.1559 0.0822
5 Pm 0.2500 0.9532 0.3028
6 Te 0.2500 0.5176 0.3831
7 Te 0.7500 0.3918 0.0601
8 Te 0.2500 0.8853 0.5321
9 Te 0.7500 0.9156 0.0969
10 Er 0.7500 0.6830 0.5016
11 Er 0.2500 0.3170 0.4984
12 Er 0.2500 0.5652 0.1654
13 Te 0.7500 0.1147 0.4679
14 Te 0.2500 0.2574 0.7223
15 Pm 0.7500 0.0468 0.6972
16 Te 0.2500 0.0844 0.9031
17 Te 0.7500 0.4824 0.6169
18 Er 0.2500 0.8441 0.9178
19 Er 0.7500 0.4348 0.8346
20 Te 0.7500 0.7426 0.2777

Calculated values
space-group type: P2_1/m, No. 11
total magnetization: 0.0 μB per formula unit
E: -5.112 eV/atom

---

(3)
# Pm2ErTe4

A relaxed structure of Pm2ErTe4 (PBE-GGA, Alexandria).

Lattice parameters (Å, degrees): 4.2594 7.6292 15.2024 90.00 90.00 106.21
Fractional coordinates of all 14 atoms:
1 Pm 0.8683 0.7365 0.9293
2 Te 0.7825 0.5649 0.1255
3 Te 0.7825 0.5649 0.3745
4 Pm 0.8683 0.7365 0.5707
5 Er 0.6282 0.2565 0.7500
6 Er 0.3718 0.7435 0.2500
7 Te 0.2175 0.4351 0.6255
8 Te 0.5000 0.0000 0.0000
9 Pm 0.1317 0.2635 0.0707
10 Te 0.0239 0.0477 0.2500
11 Te 0.9761 0.9523 0.7500
12 Pm 0.1317 0.2635 0.4293
13 Te 0.2175 0.4351 0.8745
14 Te 0.5000 0.0000 0.5000

Calculated values
N(E_F): 5.5 states/eV/cell
space-group type: Cmcm, No. 63
total magnetization: 0.0 μB per formula unit
E: -5.155 eV/atom
energy above the most stable polymorph in this dataset: 74.6 meV/atom

---

(4)
# PmErTe

A relaxed structure of PmErTe (PBE-GGA, Alexandria).

Lattice parameters (Å, degrees): 4.0271 5.1815 5.1815 120.00 90.00 90.00
Fractional coordinates of all 3 atoms:
1 Te 0.2802 0.3333 0.6667
2 Er 0.1143 0.0000 0.0000
3 Pm 0.6054 0.6667 0.3333

Calculated values
N(E_F): 3.5 states/eV/cell
space-group type: P3m1, No. 156
total magnetization: 0.0 μB per formula unit
E: -4.642 eV/atom
energy above the most stable polymorph in this dataset: 283.9 meV/atom

---

(5)
# PmErTe

A relaxed structure of PmErTe (PBE-GGA, Alexandria).

Lattice parameters (Å, degrees): 4.0125 11.1385 8.6094 92.69 103.48 90.00
Fractional coordinates of all 12 atoms:
1 Te 0.6197 0.5415 0.2394
2 Pm 0.3849 0.1593 0.7698
3 Er 0.2507 0.6648 0.5013
4 Er 0.8074 0.9190 0.6148
5 Er 0.7493 0.3352 0.4987
6 Te 0.5733 0.1547 0.1467
7 Pm 0.6151 0.8407 0.2302
8 Pm 0.9759 0.6488 0.9518
9 Te 0.4267 0.8453 0.8533
10 Pm 0.0241 0.3512 0.0482
11 Te 0.3803 0.4585 0.7606
12 Er 0.1926 0.0810 0.3852

Calculated values
N(E_F): 12.9 states/eV/cell
space-group type: C2/m, No. 12
total magnetization: 0.0 μB per formula unit
E: -4.903 eV/atom
energy above the most stable polymorph in this dataset: 23.2 meV/atom

---

(6)
# Pm2Er3Te8

A relaxed structure of Pm2Er3Te8 (PBE-GGA, Alexandria).

Lattice parameters (Å, degrees): 7.5259 8.7178 8.8610 119.47 106.07 90.00
Fractional coordinates of all 13 atoms:
1 Te 0.5895 0.1295 0.7639
2 Te 0.4105 0.3656 0.2361
3 Er 0.5000 0.0000 0.0000
4 Te 0.0880 0.8823 0.7646
5 Te 0.9120 0.1177 0.2354
6 Te 0.4105 0.8705 0.2361
7 Er 0.0000 0.7430 0.0000
8 Pm 0.3305 0.2515 0.5030
9 Te 0.0890 0.3821 0.7642
10 Er 0.0000 0.2570 0.0000
11 Te 0.9110 0.6179 0.2358
12 Pm 0.6695 0.7485 0.4970
13 Te 0.5895 0.6344 0.7639

Calculated values
N(E_F): 6.1 states/eV/cell
space-group type: C2/m, No. 12
total magnetization: 0.0 μB per formula unit
E: -4.988 eV/atom

---

(7)
# Pm2ErTe

A relaxed structure of Pm2ErTe (PBE-GGA, Alexandria).

Lattice parameters (Å, degrees): 3.9711 3.9711 7.8030 90.00 90.00 90.00
Fractional coordinates of all 4 atoms:
1 Pm 0.0000 0.0000 0.2730
2 Te 0.5000 0.5000 0.5000
3 Er 0.5000 0.5000 0.0000
4 Pm 0.0000 0.0000 0.7270

Calculated values
N(E_F): 5.0 states/eV/cell
space-group type: P4/mmm, No. 123
total magnetization: 0.0 μB per formula unit
E: -4.875 eV/atom
energy above the most stable polymorph in this dataset: 0.0 meV/atom

---

(8)
# PmErTe2

A relaxed structure of PmErTe2 (PBE-GGA, Alexandria).

Lattice parameters (Å, degrees): 3.8071 5.3827 5.3827 90.00 90.00 90.00
Fractional coordinates of all 4 atoms:
1 Er 0.5000 0.0000 0.0000
2 Pm 0.5000 0.5000 0.5000
3 Te 0.0000 0.5000 0.0000
4 Te 0.0000 0.0000 0.5000

Calculated values
N(E_F): 3.5 states/eV/cell
space-group type: P4/mmm, No. 123
total magnetization: 0.7 μB per formula unit
E: -5.094 eV/atom
energy above the most stable polymorph in this dataset: 151.6 meV/atom

---

Question: Which value of total magnetization does entry 8 give?
Answer: 0.7 μB per formula unit

---

Question: Which of these has the highest E?
Answer: number 4